The following is a DFT calculation (GGA-PBE) of crystalline RhAu at its relaxed geometry.

Properties
The value obtained for the density of states at the Fermi level is 22.88 states/eV/cell. The volume comes out at 16.3 A^3/atom. For the energy relative to the elements, the calculation gives 0.298 eV/atom.

Lattice parameters (Å, degrees): 6.387 6.387 6.387 90.00 90.00 90.00
Space group Fd-3m (No. 227, origin choice 2)
Inequivalent atoms, fractional coordinates:
Rh  0.125  0.125  0.125
Au  0.125  0.125  0.625

The following is a DFT calculation (GGA-PBE) of crystalline TiSbW at its relaxed geometry.

Properties
The calculation puts the uncorrected formation energy at 0.037 eV per atom. The value obtained for the density of states at the Fermi level is 5.09 states/eV/cell. The volume comes out at 19.4 A^3/atom.

Lattice parameters (Å, degrees): 3.656 3.656 8.708 90.00 90.00 90.00
Space group P4/nmm (No. 129, origin choice 2)
Inequivalent atoms, fractional coordinates:
Ti  0.250  0.250  0.247
Sb  0.250  0.250  0.880
W  0.250  0.250  0.543

- Number 2 is which compound?
  TiSbW